This record from Alexandria via LeMat-Bulk describes an optimized crystal structure of La3NdPd3. The functional is PBE-GGA.

## Properties
Electronic total energy (Ry/atom): -0.415
Symmetry: C2/m
Volume (Å³ per cell): 387.4

POSCAR file:
```
La3NdPd3
1.0
4.866 -5.357 0.000
4.866 5.357 0.000
-0.355 0.000 7.430
La Nd Pd
6 2 6
Cartesian
4.866 3.378 0.000
4.688 2.622 3.715
3.293 0.000 0.817
6.084 0.000 6.613
4.688 -2.622 3.715
4.866 -3.378 0.000
2.224 0.000 4.605
7.153 0.000 2.826
2.238 2.438 2.004
0.437 0.000 2.243
2.238 -2.438 2.004
7.139 2.438 5.426
8.940 0.000 5.188
7.139 -2.438 5.426
```

=====

This record from Alexandria via LeMat-Bulk describes an optimized crystal structure of LaNd4Pd2. The functional is PBE-GGA.

## Properties
Electronic total energy (Ry/atom): -0.383
Symmetry: P2_1/m
Volume (Å³ per cell): 417.9

POSCAR file:
```
LaNd4Pd2
1.0
8.133 0.000 0.000
0.000 6.696 0.000
-2.718 0.000 7.674
La Nd Pd
2 8 4
Cartesian
0.192 1.674 2.739
5.223 5.022 4.935
0.215 5.022 0.573
0.272 0.001 6.146
0.272 3.347 6.146
2.240 5.022 3.454
3.176 1.674 4.221
5.143 6.695 1.528
5.143 3.349 1.528
5.200 1.674 7.102
-0.637 5.022 3.324
2.576 1.674 1.047
2.839 5.022 6.627
6.053 1.674 4.350
```

=====

This record from Alexandria via LeMat-Bulk describes an optimized crystal structure of La3NdPd12. The functional is PBE-GGA.

## Properties
Electronic total energy (Ry/atom): -0.434
Symmetry: P4/mmm
Volume (Å³ per cell): 301.4

POSCAR file:
```
La3NdPd12
1.0
4.222 0.000 0.000
0.000 4.222 0.000
0.000 0.000 16.910
La Nd Pd
3 1 12
Cartesian
0.000 0.000 0.000
0.000 0.000 4.253
0.000 0.000 12.657
0.000 0.000 8.455
0.000 2.111 2.120
0.000 2.111 6.358
0.000 2.111 10.552
0.000 2.111 14.790
2.111 0.000 2.120
2.111 0.000 6.358
2.111 0.000 10.552
2.111 0.000 14.790
2.111 2.111 0.000
2.111 2.111 4.236
2.111 2.111 8.455
2.111 2.111 12.674
```

=====

This record from Alexandria via LeMat-Bulk describes an optimized crystal structure of La6NdPd3. The functional is PBE-GGA.

## Properties
Electronic total energy (Ry/atom): -0.400
Symmetry: Cmc2_1
Volume (Å³ per cell): 623.6

POSCAR file:
```
La6NdPd3
1.0
5.989 -6.894 0.000
5.989 6.894 0.000
0.000 0.000 7.550
La Nd Pd
12 2 6
Cartesian
2.694 2.682 2.520
5.989 6.367 3.775
5.989 3.733 1.111
3.976 0.603 7.436
3.976 -0.603 3.661
2.694 -2.682 6.295
9.285 2.682 2.520
8.002 0.603 7.436
8.002 -0.603 3.661
5.989 -3.733 4.886
5.989 -6.367 0.000
9.285 -2.682 6.295
5.989 2.430 4.677
5.989 -2.430 0.902
2.229 1.252 5.232
2.229 -1.252 1.457
5.989 0.984 2.129
5.989 -0.984 5.904
9.749 1.252 5.232
9.749 -1.252 1.457
```

=====

This record from Alexandria via LeMat-Bulk describes an optimized crystal structure of LaNdPd4. The functional is PBE-GGA.

## Properties
Electronic total energy (Ry/atom): -0.432
Symmetry: Cmcm
Volume (Å³ per cell): 255.4

POSCAR file:
```
LaNdPd4
1.0
2.153 -9.993 0.000
2.153 9.993 0.000
0.000 0.000 5.936
La Nd Pd
2 2 8
Cartesian
2.153 8.428 4.452
2.153 -8.428 1.484
2.153 5.518 1.484
2.153 -5.518 4.452
2.153 8.535 1.484
2.153 2.921 3.063
2.153 2.921 5.841
2.153 0.000 0.000
2.153 0.000 2.968
2.153 -2.921 0.095
2.153 -2.921 2.873
2.153 -8.535 4.452
```

=====

This record from Alexandria via LeMat-Bulk describes an optimized crystal structure of LaNd3Pd2. The functional is PBE-GGA.

## Properties
Electronic total energy (Ry/atom): -0.400
Symmetry: C2/m
Volume (Å³ per cell): 349.9

POSCAR file:
```
LaNd3Pd2
1.0
9.040 -2.053 0.000
9.040 2.053 0.000
-4.885 0.000 9.425
La Nd Pd
2 6 4
Cartesian
1.866 0.000 0.123
11.329 0.000 9.301
-0.873 0.000 3.658
2.005 0.000 6.150
5.273 0.000 2.513
7.922 0.000 6.911
11.190 0.000 3.275
14.068 0.000 5.766
0.167 0.000 8.630
4.481 0.000 7.942
8.714 0.000 1.483
13.028 0.000 0.794
```

=====

This record from Alexandria via LeMat-Bulk describes an optimized crystal structure of LaNd3Pd2. The functional is PBE-GGA.

## Properties
Electronic total energy (Ry/atom): -0.399
Symmetry: C2/c
Volume (Å³ per cell): 353.2

POSCAR file:
```
LaNd3Pd2
1.0
6.536 -3.519 0.000
6.536 3.519 0.000
-2.483 0.000 7.680
La Nd Pd
2 6 4
Cartesian
4.674 1.767 5.760
5.916 -1.767 1.920
2.545 0.013 0.826
1.303 -0.013 4.665
5.916 1.769 1.920
4.674 -1.769 5.760
9.287 0.013 3.014
8.046 -0.013 6.854
3.880 0.006 3.380
2.639 -0.006 7.220
7.952 0.006 0.459
6.710 -0.006 4.299
```

=====

This record from Alexandria via LeMat-Bulk describes an optimized crystal structure of LaNdPd4. The functional is PBE-GGA.

## Properties
Electronic total energy (Ry/atom): -0.430
Symmetry: F-43m
Volume (Å³ per cell): 121.2

POSCAR file:
```
LaNdPd4
1.0
0.000 3.928 3.928
3.928 0.000 3.928
3.928 3.928 0.000
La Nd Pd
1 1 4
Cartesian
0.000 0.000 0.000
5.892 5.892 5.892
2.947 2.947 2.947
4.909 4.909 2.947
4.909 2.947 4.909
2.947 4.909 4.909
```

=====

This record from Alexandria via LeMat-Bulk describes an optimized crystal structure of LaNd2Pd. The functional is PBE-GGA.

## Properties
Electronic total energy (Ry/atom): -0.385
Symmetry: P4/mmm
Volume (Å³ per cell): 120.3

POSCAR file:
```
LaNd2Pd
1.0
3.672 0.000 0.000
0.000 3.672 0.000
0.000 0.000 8.921
La Nd Pd
1 2 1
Cartesian
0.000 0.000 0.000
1.836 1.836 2.725
1.836 1.836 6.196
0.000 0.000 4.460
```

=====

This record from Alexandria via LeMat-Bulk describes an optimized crystal structure of La2Nd2Pd. The functional is PBE-GGA.

## Properties
Electronic total energy (Ry/atom): -0.378
Symmetry: C2/m
Volume (Å³ per cell): 329.6

POSCAR file:
```
La2Nd2Pd
1.0
3.879 -6.067 0.000
3.879 6.067 0.000
-3.209 0.000 7.002
La Nd Pd
4 4 2
Cartesian
0.490 0.000 2.882
-0.773 0.000 6.157
5.321 0.000 0.845
4.058 0.000 4.120
2.671 2.682 1.720
1.878 2.682 5.282
2.671 -2.682 1.720
1.878 -2.682 5.282
3.879 4.622 0.000
3.879 -4.622 0.000
```

=====

This record from Alexandria via LeMat-Bulk describes an optimized crystal structure of La3NdPd. The functional is PBE-GGA.

## Properties
Electronic total energy (Ry/atom): -0.383
Symmetry: Pnma
Volume (Å³ per cell): 653.8

POSCAR file:
```
La3NdPd
1.0
11.940 0.000 0.000
0.000 3.789 0.000
0.000 0.000 14.454
La Nd Pd
12 4 4
Cartesian
0.545 0.947 2.608
0.643 2.842 5.791
2.431 0.947 10.828
3.539 2.842 3.602
5.327 0.947 13.018
5.425 2.842 9.835
6.515 0.947 4.619
6.613 2.842 1.436
8.401 0.947 10.852
9.508 2.842 3.625
11.296 0.947 8.663
11.395 2.842 11.846
2.135 2.842 14.336
3.835 0.947 7.109
8.105 2.842 7.345
9.804 0.947 0.118
1.839 2.842 8.597
4.131 0.947 1.370
7.808 2.842 13.083
10.101 0.947 5.857
```

=====

This record from Alexandria via LeMat-Bulk describes an optimized crystal structure of LaNd2Pd4. The functional is PBE-GGA.

## Properties
Electronic total energy (Ry/atom): -0.424
Symmetry: P1
Volume (Å³ per cell): 323.4

POSCAR file:
```
LaNd2Pd4
1.0
5.522 0.000 0.000
0.054 7.449 0.000
1.657 0.052 7.864
La Nd Pd
2 4 8
Cartesian
0.000 0.000 0.000
2.891 0.727 2.325
2.788 3.713 7.487
2.695 4.260 3.282
5.437 2.965 5.217
5.673 6.867 4.260
2.544 1.595 5.052
2.943 6.142 5.485
2.533 5.831 0.878
4.404 0.757 6.972
3.904 2.947 0.538
5.816 5.338 6.685
5.427 4.976 2.054
5.802 2.120 2.453
```